VASP calculation (GGA-PBE) on crystalline YTm2Au2 at its relaxed geometry.

Theoretical density: 11.027 g cm⁻³
Symmetry: P4/mbm
Formation energy from the elements: -3.6 eV/f.u.

Unit cell a=3.743 b=8.126 c=8.126 alpha=90.00 beta=90.00 gamma=90.00
Sites, in units of the cell vectors:
1 Y 0.000 0.000 0.000
2 Y 0.000 0.500 0.500
3 Tm 0.500 0.161 0.661
4 Tm 0.500 0.661 0.839
5 Tm 0.500 0.839 0.339
6 Tm 0.500 0.339 0.161
7 Au 0.000 0.366 0.866
8 Au 0.000 0.866 0.634
9 Au 0.000 0.634 0.134
10 Au 0.000 0.134 0.366